(1)
VASP calculation (PBE-GGA) on a relaxed La3TmSn2 crystal.

Values from the calculation:
Symmetry: Ibam, No. 72
Total magnetic moment: 1.176 μB/f.u.
Volume: 391.42 Å³/cell

a b c (Å): 9.977 9.977 9.977
angles (deg): 140.75 56.45 141.10
Sites, in units of the cell vectors:
La (0.176, 0.244, 0.421)
La (0.250, 0.250, 0.000)
La (0.324, 0.744, 0.068)
La (0.676, 0.256, 0.932)
La (0.750, 0.750, 0.000)
La (0.824, 0.756, 0.579)
Tm (0.250, 0.750, 0.500)
Tm (0.750, 0.250, 0.500)
Sn (0.133, 0.737, 0.871)
Sn (0.367, 0.237, 0.604)
Sn (0.633, 0.763, 0.396)
Sn (0.867, 0.263, 0.129)

(2)
VASP calculation (PBE-GGA) on a relaxed Sm5ErBi6 crystal.

Values from the calculation:
Symmetry: C2/m, No. 12
Total magnetic moment: 0.000 μB/f.u.
Volume: 397.19 Å³/cell

a b c (Å): 7.866 7.866 7.865
angles (deg): 99.61 99.61 120.01
Sites, in units of the cell vectors:
Sm (0.000, 0.000, 0.000)
Sm (0.166, 0.834, 0.500)
Sm (0.331, 0.669, 0.000)
Sm (0.669, 0.331, 0.000)
Sm (0.834, 0.166, 0.500)
Er (0.500, 0.500, 0.500)
Bi (0.089, 0.418, 0.253)
Bi (0.254, 0.254, 0.749)
Bi (0.418, 0.089, 0.253)
Bi (0.582, 0.911, 0.747)
Bi (0.746, 0.746, 0.251)
Bi (0.911, 0.582, 0.747)

(3)
VASP calculation (PBE-GGA) on a relaxed GdThOs2 crystal.

Values from the calculation:
Energy above the most stable polymorph in this dataset: 0.014 eV per formula unit
Symmetry: Fm-3m, No. 225
Total magnetic moment: 6.871 μB/f.u.
Volume: 86.20 Å³/cell

a b c (Å): 4.958 4.958 4.958
angles (deg): 60.00 60.00 60.00
Sites, in units of the cell vectors:
Gd (0.000, 0.000, 0.000)
Th (0.500, 0.500, 0.500)
Os (0.250, 0.250, 0.250)
Os (0.750, 0.750, 0.750)

Number 1: calculated formation energy -592 meV/atom. Number 2: calculated formation energy -905 meV/atom. Number 3: calculated formation energy -111 meV/atom.